{
  "formula": "Ca4Ho3CuS8",
  "functional": "PBE",
  "state": "optimized geometry",
  "raw_formation_energy_ev_per_atom": -1.855,
  "total_energy_ev_per_fu": -88.53,
  "lattice": [[3.923, 2.265, 6.461], [-3.923, 2.265, 6.461], [0.000, -4.530, 6.461]],
  "species": ["Ca", "Ca", "Ca", "Ca", "Ho", "Ho", "Ho", "Cu", "S", "S", "S", "S", "S", "S", "S", "S"],
  "fractional_positions": [[0.000, 0.000, 0.000], [0.000, 0.500, 0.500], [0.500, 0.000, 0.500], [0.500, 0.500, 0.000], [0.000, 0.000, 0.500], [0.000, 0.500, 0.000], [0.500, 0.000, 0.000], [0.500, 0.500, 0.500], [0.248, 0.248, 0.248], [0.249, 0.745, 0.745], [0.255, 0.255, 0.751], [0.255, 0.751, 0.255], [0.745, 0.249, 0.745], [0.745, 0.745, 0.249], [0.751, 0.255, 0.255], [0.752, 0.752, 0.752]]
}